A relaxed Ag7Pt2O7 crystal, computed with PBE.

extended XYZ file:
```
48
Lattice="-8.4546 -0.0929 4.8365 -3.8088 8.3118 3.3594 -8.0210 3.7145 -4.0922" Properties=species:S:1:pos:R:3 pbc="T T T"
Pt -13.1023 6.0889 3.6497
Pt -11.6176 8.7749 3.1777
Pt -12.9637 7.3057 0.7963
Pt -7.3206 4.6277 3.3074
Pt -8.6668 3.1585 0.9260
Pt -7.1821 5.8445 0.4540
Ag -3.3758 1.9860 0.6830
Ag -14.2080 4.0984 1.0577
Ag -6.0454 1.5513 2.4602
Ag -11.2521 7.3245 6.2867
Ag -14.4105 8.8753 5.1771
Ag -9.9917 7.2880 -1.0466
Ag -11.6039 4.3713 -0.5340
Ag -9.3364 1.9372 4.0825
Ag -14.2390 10.3821 1.6435
Ag -8.6804 7.5621 4.6377
Ag -10.1422 5.9667 2.0519
Ag -16.9085 9.9474 3.4207
Ag -9.0322 4.6089 -2.1830
Ag -4.2068 4.8775 1.8756
Ag -6.0764 7.8350 3.0460
Ag -16.0775 7.0559 2.2281
Ag -10.9479 9.9962 0.0212
Ag -11.7544 3.0501 2.5644
Ag -10.2926 4.6454 5.1503
Ag -8.5300 8.8833 1.5393
Ag -5.8738 3.0581 -1.0734
O -8.1006 5.3589 5.0147
O -7.7342 6.3659 2.3390
O -11.2903 6.9425 3.9934
O -5.4764 5.2949 3.8896
O -13.5139 7.9503 2.7340
O -6.7869 2.9240 4.3063
O -6.7705 3.9831 1.3697
O -5.3208 6.6616 0.6846
O -6.5090 5.3647 -1.4174
O -12.1838 6.5745 -0.9110
O -11.1607 8.0813 1.3229
O -7.8444 7.6080 -0.2596
O -8.1766 2.3478 -0.8872
O -8.2989 1.2738 1.6315
O -9.6956 9.2903 3.4908
O -12.4399 4.3254 4.3633
O -9.1237 3.8521 2.7808
O -10.5888 2.6431 0.6129
O -12.5501 5.5675 1.7647
O -8.9940 4.9909 0.1103
O 0.0000 0.0000 0.0000
```

Total DFT energy (no corrections) (eV/atom): -4.3669
SG: No. 166
Calculated density (Mg/m³): 9.62

***

A relaxed AgPtO3 crystal, computed with PBE.

extended XYZ file:
```
10
Lattice="-2.6829 4.6469 0.0000 2.6829 4.6469 0.0000 0.0000 3.0979 -5.0527" Properties=species:S:1:pos:R:3 pbc="T T T"
Pt 0.0000 9.2937 -2.4649
Pt 0.0000 3.0979 -2.5877
Ag 0.0000 6.1958 -4.5576
Ag 0.0000 6.1958 -0.4951
O -1.0482 7.9182 -1.4212
O 1.0482 4.4734 -3.6315
O 0.9675 7.9648 -3.6315
O -0.9675 4.4268 -1.4212
O -2.0157 6.1492 -3.6315
O 2.0157 6.2424 -1.4212
```

Total DFT energy (no corrections) (eV/atom): -5.0335
SG: No. 148
Calculated density (Mg/m³): 9.25

***

A relaxed AgPtO3 crystal, computed with PBE.

extended XYZ file:
```
20
Lattice="5.3898 0.0000 0.0000 0.0000 5.5272 0.0000 0.0000 0.0000 7.7020" Properties=species:S:1:pos:R:3 pbc="T T T"
Ag 5.3401 0.3404 1.9255
Ag 2.6452 2.4232 5.7765
Ag 2.7446 3.1040 1.9255
Ag 0.0497 5.1868 5.7765
O 4.2963 4.3779 3.2981
O 1.6013 3.9129 4.4040
O 4.2963 4.3779 0.5529
O 3.3683 0.3158 5.7765
O 0.6733 2.4478 1.9255
O 2.0216 5.2114 1.9255
O 3.7885 1.6143 3.2981
O 3.7885 1.6143 0.5529
O 1.0936 1.1493 4.4040
O 1.0936 1.1493 7.1491
O 4.7165 3.0794 5.7765
O 1.6013 3.9129 7.1491
Pt 2.6949 0.0000 0.0000
Pt 0.0000 2.7636 0.0000
Pt 0.0000 2.7636 3.8510
Pt 2.6949 0.0000 3.8510
```

Total DFT energy (no corrections) (eV/atom): -4.8782
SG: No. 62
Calculated density (Mg/m³): 10.16